[1]
## CaAlB2As (PBE-GGA)

Data for CaAlB2As after structural relaxation.

Output
Calculated formation energy in eV/atom: 0.70
Density of states at the Fermi level in states/eV per atom: 0.35

a b c (Å): 4.259 4.259 5.026
angles (deg): 90.00 90.00 90.00
Space group P4/mmm (No. 123)
Asymmetric unit:
Ca 0.000 0.000 0.000 (multiplicity 1)
Al 0.500 0.500 0.500 (multiplicity 1)
B 0.000 0.500 0.500 (multiplicity 2)
As 0.500 0.500 0.000 (multiplicity 1)

=====

[2]
## HgIr2Ru (PBE-GGA)

Data for HgIr2Ru after structural relaxation.

Output
Calculated formation energy in eV/atom: 0.52
Density of states at the Fermi level in states/eV per atom: 1.35

a b c (Å): 2.778 4.847 9.677
angles (deg): 90.00 90.00 90.00
Space group Cmmm (No. 65)
Asymmetric unit:
Hg 0.000 0.000 0.000 (multiplicity 2)
Ir 0.000 0.500 0.269 (multiplicity 4)
Ru 0.000 0.000 0.500 (multiplicity 2)

=====

[3]
## CePu2Cd (PBE-GGA)

Data for CePu2Cd after structural relaxation.

Output
Calculated formation energy in eV/atom: 0.68
Polymorph energy (0 for the lowest one) in meV per atom: 630
Density of states at the Fermi level in states/eV per atom: 2.97

a b c (Å): 3.9717 3.9717 27.9452
angles (deg): 90.00 90.00 120.00
Space group R-3m (No. 166, hexagonal axes)
Asymmetric unit:
Ce 0.0000 0.0000 0.0000 (multiplicity 3)
Pu 0.0000 0.0000 0.3852 (multiplicity 6)
Cd 0.0000 0.0000 0.5000 (multiplicity 3)

=====

[4]
## NaCa8Tl2 (PBE-GGA)

Data for NaCa8Tl2 after structural relaxation.

Output
Calculated formation energy in eV/atom: -0.13
Density of states at the Fermi level in states/eV per atom: 0.82

a b c (Å): 5.472 9.467 15.152
angles (deg): 90.00 90.00 90.00
Space group Immm (No. 71)
Asymmetric unit:
Na 0.000 0.000 0.000 (multiplicity 2)
Ca 0.000 0.177 0.500 (multiplicity 4)
Ca 0.000 0.294 0.162 (multiplicity 8)
Ca 0.000 0.500 0.359 (multiplicity 4)
Tl 0.000 0.000 0.296 (multiplicity 4)

=====

[5]
## Ho2TmSn2 (PBE-GGA)

Data for Ho2TmSn2 after structural relaxation.

Output
Calculated formation energy in eV/atom: -0.58
Density of states at the Fermi level in states/eV per atom: 0.90

a b c (Å): 4.522 18.186 6.628
angles (deg): 90.00 90.00 90.00
Space group Cmc2_1 (No. 36)
Asymmetric unit:
Ho 0.000 0.093 0.000 (multiplicity 4)
Ho 0.000 0.292 0.242 (multiplicity 4)
Tm 0.000 0.094 0.485 (multiplicity 4)
Sn 0.000 0.320 0.744 (multiplicity 4)
Sn 0.000 0.488 0.241 (multiplicity 4)

=====

[6]
## Ca3Sm2TmSe6 (PBE-GGA)

Data for Ca3Sm2TmSe6 after structural relaxation.

Output
Density of states at the Fermi level in states/eV per atom: 0.37
Uncorrected formation energy in eV per atom: -1.8770

a b c (Å): 7.167 12.396 7.271
angles (deg): 90.00 109.22 90.00
Space group C2/m (No. 12)
Asymmetric unit:
Ca 0.000 0.000 0.000 (multiplicity 2)
Ca 0.000 0.331 0.000 (multiplicity 4)
Sm 0.000 0.166 0.500 (multiplicity 4)
Tm 0.000 0.500 0.500 (multiplicity 2)
Se 0.241 0.500 0.251 (multiplicity 4)
Se 0.245 0.338 0.748 (multiplicity 8)

=====

[7]
## SmMgCd (PBE-GGA)

Data for SmMgCd after structural relaxation.

Output
Calculated formation energy in eV/atom: -0.15
Density of states at the Fermi level in states/eV per atom: 0.87

a b c (Å): 3.582 3.579 12.174
angles (deg): 90.00 90.01 90.00
Space group Pm (No. 6)
Asymmetric unit:
Sm 0.000 0.000 0.000 (multiplicity 1)
Sm 0.500 0.500 0.221 (multiplicity 1)
Mg 0.499 0.500 0.533 (multiplicity 1)
Mg 0.998 0.000 0.690 (multiplicity 1)
Cd 0.000 0.000 0.398 (multiplicity 1)
Cd 0.500 0.500 0.824 (multiplicity 1)

=====

[8]
## SrLi2GaPt (PBE-GGA)

Data for SrLi2GaPt after structural relaxation.

Output
Calculated formation energy in eV/atom: -0.45
Density of states at the Fermi level in states/eV per atom: 0.40

a b c (Å): 4.880 4.880 4.831
angles (deg): 90.00 90.00 90.00
Space group P4/mmm (No. 123)
Asymmetric unit:
Sr 0.000 0.000 0.000 (multiplicity 1)
Li 0.000 0.500 0.500 (multiplicity 2)
Ga 0.500 0.500 0.000 (multiplicity 1)
Pt 0.500 0.500 0.500 (multiplicity 1)

=====

[9]
## Cd2Sn2Hg (PBE-GGA)

Data for Cd2Sn2Hg after structural relaxation.

Output
Calculated formation energy in eV/atom: 0.10
Polymorph energy (0 for the lowest one) in meV per atom: 35
Density of states at the Fermi level in states/eV per atom: 0.46

a b c (Å): 4.355 4.355 14.720
angles (deg): 90.00 90.00 90.00
Space group I4/mmm (No. 139)
Asymmetric unit:
Cd 0.000 0.000 0.095 (multiplicity 4)
Sn 0.000 0.500 0.250 (multiplicity 4)
Hg 0.000 0.000 0.500 (multiplicity 2)

=====

[10]
## MnSb2HI (PBE-GGA)

Data for MnSb2HI after structural relaxation.

Output
Polymorph energy (0 for the lowest one) in meV per atom: 207
Density of states at the Fermi level in states/eV per atom: 1.04

a b c (Å): 4.827 4.827 5.618
angles (deg): 90.00 90.00 90.00
Space group P4/mmm (No. 123)
Asymmetric unit:
Mn 0.000 0.000 0.000 (multiplicity 1)
Sb 0.000 0.500 0.000 (multiplicity 2)
H 0.500 0.500 0.500 (multiplicity 1)
I 0.000 0.000 0.500 (multiplicity 1)

=====

[11]
## KDyTm4Se8 (PBE-GGA)

Data for KDyTm4Se8 after structural relaxation.

Output
Density of states at the Fermi level in states/eV per atom: 0.00
Uncorrected formation energy in eV per atom: -1.7281

a b c (Å): 8.4800 8.4800 20.9524
angles (deg): 90.00 90.00 120.00
Space group R3m (No. 160, hexagonal axes)
Asymmetric unit:
K 0.0000 0.0000 0.0000 (multiplicity 3)
Dy 0.0000 0.0000 0.3677 (multiplicity 3)
Tm 0.0000 0.0000 0.7478 (multiplicity 3)
Tm 0.0128 0.5064 0.8747 (multiplicity 9)
Se 0.0000 0.0000 0.1394 (multiplicity 3)
Se 0.0000 0.0000 0.6156 (multiplicity 3)
Se 0.0187 0.5094 0.1262 (multiplicity 9)
Se 0.1863 0.3726 0.9499 (multiplicity 9)